*a*
A geometry-optimized Zr2TlP structure. Source: Alexandria via LeMat-Bulk, functional GGA-PBEsol.

Lattice parameters (Å, degrees): 7.8016 7.8016 7.8016 26.50 26.50 26.50
With the nearest neighbours (Å) after each atom.
Fractional positions:
Zr (0.2310, 0.2310, 0.2310)  3 P 2.52
Zr (0.7690, 0.7690, 0.7690)  3 P 2.52
Tl (0.0000, 0.0000, 0.0000)  6 Zr 3.10
P (0.5000, 0.5000, 0.5000)  6 Zr 2.52

Summary:
**Theoretical density**: 8.33 g cm⁻³
**Magnetization**: 0.0000 μB per atom
**Space group**: R-3m

=====

*b*
A geometry-optimized Zr2TlP structure. Source: Alexandria via LeMat-Bulk, functional GGA-PBEsol.

Lattice parameters (Å, degrees): 4.9037 4.9037 3.4034 97.24 97.24 100.81
With the nearest neighbours (Å) after each atom.
Fractional positions:
Zr (0.0000, 0.5000, 0.0000)  2 P 2.80, 2 Tl 2.80, 2 Zr 3.13
Zr (0.5000, 0.0000, 0.0000)  2 P 2.80, 2 Tl 2.80, 2 Zr 3.13
Tl (0.0000, 0.0000, 0.5000)  4 Zr 2.80, 2 P 3.13
P (0.5000, 0.5000, 0.5000)  4 Zr 2.80, 2 Tl 3.13

Summary:
**Theoretical density**: 8.80 g cm⁻³
**Magnetization**: 0.0000 μB per atom
**Space group**: C2/m

=====

Quick one: most stable of them? *a*

=====

*a*
A geometry-optimized ZrP2W structure. Source: Alexandria via LeMat-Bulk, functional GGA-PBEsol.

Lattice parameters (Å, degrees): 3.2988 3.9880 4.9280 90.00 90.00 90.00
With the nearest neighbours (Å) after each atom.
Fractional positions:
Zr (0.0000, 0.0000, 0.0000)  8 P 2.82, 4 W 2.97
P (0.5000, 0.5000, 0.2281)  1 P 2.25, 2 W 2.40
P (0.5000, 0.5000, 0.7719)  1 P 2.25, 2 W 2.40
W (0.5000, 0.0000, 0.5000)  4 P 2.40

Summary:
**Theoretical density**: 8.63 g cm⁻³
**Magnetization**: 0.0000 μB per atom
**Space group**: Pmmm

=====

*b*
A geometry-optimized ZrP2W structure. Source: Alexandria via LeMat-Bulk, functional GGA-PBEsol.

Lattice parameters (Å, degrees): 6.2343 6.2343 6.2343 149.68 148.49 44.29
With the nearest neighbours (Å) after each atom.
Fractional positions:
Zr (0.0000, 0.0000, 0.0000)  6 P 2.58-2.61
P (0.4087, 0.4087, 0.0000)  2 W 2.43, 4 Zr 2.58
P (0.6720, 0.1720, 0.5000)  4 W 2.53, 2 Zr 2.61
W (0.2521, 0.7521, 0.5000)  6 P 2.43-2.53

Summary:
**Theoretical density**: 8.78 g cm⁻³
**Magnetization**: 0.0000 μB per atom
**Space group**: Imm2

=====

Quick one: most stable of them? *b*

=====

*a*
A geometry-optimized Y5P structure. Source: Alexandria via LeMat-Bulk, functional GGA-PBEsol.

Lattice parameters (Å, degrees): 3.5584 3.5584 12.8169 90.00 90.00 90.00
With the nearest neighbours (Å) after each atom.
Fractional positions:
Y (0.0000, 0.0000, 0.0000)  12 Y 3.50-3.56
Y (0.0000, 0.0000, 0.3817)  4 P 2.94, 1 Y 3.03
Y (0.0000, 0.0000, 0.6183)  4 P 2.94, 1 Y 3.03
Y (0.5000, 0.5000, 0.1903)  12 Y 3.50-3.56
Y (0.5000, 0.5000, 0.8097)  12 Y 3.50-3.56
P (0.5000, 0.5000, 0.5000)  8 Y 2.94

Summary:
**Theoretical density**: 4.87 g cm⁻³
**Magnetization**: 0.1333 μB per atom
**Space group**: P4/mmm

=====

*b*
A geometry-optimized Y5P structure. Source: Alexandria via LeMat-Bulk, functional GGA-PBEsol.

Lattice parameters (Å, degrees): 5.1069 8.5376 8.5376 25.19 90.00 90.00
With the nearest neighbours (Å) after each atom.
Fractional positions:
Y (0.0000, 0.0000, 0.0000)  6 Y 3.31, 2 P 3.35
Y (0.0000, 0.3059, 0.3059)  2 P 2.97, 4 Y 3.21
Y (0.5000, 0.1260, 0.1260)  4 Y 3.05-3.31, 4 P 3.23
Y (0.5000, 0.4401, 0.4401)  10 Y 3.31-3.61
Y (0.5000, 0.7712, 0.7712)  8 Y 3.05-3.37, 2 P 3.09
P (0.0000, 0.6670, 0.6670)  8 Y 2.97-3.23

Summary:
**Theoretical density**: 4.98 g cm⁻³
**Magnetization**: 0.0007 μB per atom
**Space group**: Amm2

=====

Quick one: most stable of them? *a*

=====

*a*
A geometry-optimized YZrP2 structure. Source: Alexandria via LeMat-Bulk, functional GGA-PBEsol.

Lattice parameters (Å, degrees): 6.6604 6.6604 6.6604 33.16 33.16 33.16
With the nearest neighbours (Å) after each atom.
Fractional positions:
Y (0.0000, 0.0000, 0.0000)  6 P 2.75
Zr (0.5000, 0.5000, 0.5000)  6 P 2.65
P (0.2452, 0.2452, 0.2452)  3 Zr 2.65, 3 Y 2.75
P (0.7548, 0.7548, 0.7548)  3 Zr 2.65, 3 Y 2.75

Summary:
**Theoretical density**: 5.11 g cm⁻³
**Magnetization**: 0.0000 μB per atom
**Space group**: R-3m

=====

*b*
A geometry-optimized YZrP2 structure. Source: Alexandria via LeMat-Bulk, functional GGA-PBEsol.

Lattice parameters (Å, degrees): 3.8224 3.8224 5.3822 90.00 90.00 90.00
With the nearest neighbours (Å) after each atom.
Fractional positions:
Y (0.0000, 0.0000, 0.0000)  6 P 2.69-2.70
Zr (0.5000, 0.5000, 0.5000)  6 P 2.69-2.70
P (0.0000, 0.0000, 0.5000)  2 Y 2.69, 4 Zr 2.70
P (0.5000, 0.5000, 0.0000)  2 Zr 2.69, 4 Y 2.70

Summary:
**Theoretical density**: 5.11 g cm⁻³
**Magnetization**: 0.0000 μB per atom
**Space group**: P4/mmm

=====

Quick one: most stable of them? *a*

=====

*a*
A geometry-optimized Zn3P2 structure. Source: Alexandria via LeMat-Bulk, functional GGA-PBEsol.

Lattice parameters (Å, degrees): 3.8329 3.8329 6.3404 90.00 90.00 120.00
With the nearest neighbours (Å) after each atom.
Fractional positions:
Zn (0.0000, 0.0000, 0.0000)  6 P 2.64
Zn (0.3333, 0.6667, 0.3761)  4 P 2.40-2.51
Zn (0.6667, 0.3333, 0.6239)  4 P 2.40-2.51
P (0.3333, 0.6667, 0.7719)  7 Zn 2.40-2.64
P (0.6667, 0.3333, 0.2281)  7 Zn 2.40-2.64

Summary:
**Theoretical density**: 5.31 g cm⁻³
**Magnetization**: 0.0000 μB per atom
**Space group**: P-3m1

=====

*b*
A geometry-optimized Zn3P2 structure. Source: Alexandria via LeMat-Bulk, functional GGA-PBEsol.

Lattice parameters (Å, degrees): 7.9743 7.9743 11.2329 90.00 90.00 90.00
With the nearest neighbours (Å) after each atom.
Fractional positions:
Zn (0.0025, 0.7500, 0.1063)  4 P 2.32-2.55
Zn (0.0284, 0.2500, 0.6340)  3 P 2.35-2.38
Zn (0.0284, 0.7500, 0.6399)  3 P 2.35-2.37
Zn (0.2500, 0.0284, 0.1340)  3 P 2.35-2.38
Zn (0.2500, 0.4716, 0.1340)  3 P 2.35-2.38
Zn (0.2500, 0.5025, 0.3937)  4 P 2.32-2.55
Zn (0.2500, 0.5284, 0.8601)  3 P 2.35-2.37
Zn (0.2500, 0.9716, 0.8601)  3 P 2.35-2.37
Zn (0.2500, 0.9975, 0.3937)  4 P 2.32-2.55
Zn (0.4716, 0.2500, 0.6340)  3 P 2.35-2.38
Zn (0.4716, 0.7500, 0.6399)  3 P 2.35-2.37
Zn (0.4975, 0.7500, 0.1063)  4 P 2.32-2.55
Zn (0.5025, 0.2500, 0.8937)  4 P 2.32-2.55
Zn (0.5284, 0.2500, 0.3601)  3 P 2.35-2.37
Zn (0.5284, 0.7500, 0.3660)  3 P 2.35-2.38
Zn (0.7500, 0.0025, 0.6063)  4 P 2.32-2.55
Zn (0.7500, 0.0284, 0.1399)  3 P 2.35-2.37
Zn (0.7500, 0.4716, 0.1399)  3 P 2.35-2.37
Zn (0.7500, 0.4975, 0.6063)  4 P 2.32-2.55
Zn (0.7500, 0.5284, 0.8660)  3 P 2.35-2.38
Zn (0.7500, 0.9716, 0.8660)  3 P 2.35-2.38
Zn (0.9716, 0.2500, 0.3601)  3 P 2.35-2.37
Zn (0.9716, 0.7500, 0.3660)  3 P 2.35-2.38
Zn (0.9975, 0.2500, 0.8937)  4 P 2.32-2.55
P (0.0023, 0.5023, 0.2500)  6 Zn 2.37-2.55
P (0.0023, 0.9977, 0.2500)  6 Zn 2.37-2.55
P (0.2500, 0.2500, 0.4956)  4 Zn 2.32-2.35
P (0.2500, 0.2500, 0.9956)  4 Zn 2.32-2.35
P (0.2500, 0.7500, 0.5017)  4 Zn 2.32-2.35
P (0.2500, 0.7500, 0.9983)  4 Zn 2.32-2.35
P (0.4977, 0.5023, 0.2500)  6 Zn 2.37-2.55
P (0.4977, 0.9977, 0.2500)  6 Zn 2.37-2.55
P (0.5023, 0.0023, 0.7500)  6 Zn 2.37-2.55
P (0.5023, 0.4977, 0.7500)  6 Zn 2.37-2.55
P (0.7500, 0.2500, 0.0017)  4 Zn 2.32-2.35
P (0.7500, 0.2500, 0.4983)  4 Zn 2.32-2.35
P (0.7500, 0.7500, 0.0044)  4 Zn 2.32-2.35
P (0.7500, 0.7500, 0.5044)  4 Zn 2.32-2.35
P (0.9977, 0.0023, 0.7500)  6 Zn 2.37-2.55
P (0.9977, 0.4977, 0.7500)  6 Zn 2.37-2.55

Summary:
**Theoretical density**: 4.80 g cm⁻³
**Magnetization**: 0.0000 μB per atom
**Space group**: P4_2/nmc

=====

Quick one: most stable of them? *b*

=====

*a*
A geometry-optimized ZnP3 structure. Source: Alexandria via LeMat-Bulk, functional GGA-PBEsol.

Lattice parameters (Å, degrees): 2.4206 2.4206 10.1080 90.00 90.00 90.00
With the nearest neighbours (Å) after each atom.
Fractional positions:
Zn (0.0000, 0.0000, 0.0000)  4 Zn 2.42
P (0.0000, 0.0000, 0.5000)  4 P 2.42
P (0.5000, 0.5000, 0.2362)  4 P 2.42
P (0.5000, 0.5000, 0.7638)  4 P 2.42

Summary:
**Theoretical density**: 4.44 g cm⁻³
**Magnetization**: 0.0001 μB per atom
**Space group**: P4/mmm

=====

*b*
A geometry-optimized ZnP3 structure. Source: Alexandria via LeMat-Bulk, functional GGA-PBEsol.

Lattice parameters (Å, degrees): 7.4855 7.4855 3.1813 90.00 90.00 129.88
With the nearest neighbours (Å) after each atom.
Fractional positions:
Zn (0.0735, 0.9265, 0.7500)  2 P 2.44, 2 Zn 2.55
Zn (0.9265, 0.0735, 0.2500)  2 P 2.44, 2 Zn 2.55
P (0.0826, 0.4766, 0.2500)  2 P 2.18
P (0.4474, 0.5526, 0.7500)  2 P 2.14
P (0.4766, 0.0826, 0.7500)  2 P 2.18
P (0.5234, 0.9174, 0.2500)  2 P 2.18
P (0.5526, 0.4474, 0.2500)  2 P 2.14
P (0.9174, 0.5234, 0.7500)  2 P 2.18

Summary:
**Theoretical density**: 3.84 g cm⁻³
**Magnetization**: 0.0000 μB per atom
**Space group**: Cmcm

=====

Quick one: most stable of them? *b*